Entry 1:
Material: KTlHgS2
Method: DFT, PBE
State: optimized geometry

Properties
ρ (g/cm³): 4.4
Symmetry: P2/c, No. 13
E_form (uncorrected) (eV per atom): -0.54

Cell: 7.2083 6.3498 8.3761 Å, 90.00 95.00 90.00°
Closest atoms and distances in Å follow each position.
Fractional positions:
K: 0.0000 0.0784 0.2500  4 S 3.20-3.22
K: 0.0000 0.9216 0.7500  4 S 3.20-3.22
Tl: 0.5000 0.4739 0.2500  2 S 2.94
Tl: 0.5000 0.5261 0.7500  2 S 2.94
Hg: 0.5000 0.0000 0.0000  2 S 2.35
Hg: 0.5000 0.0000 0.5000  2 S 2.35
S: 0.2590 0.2282 0.5592  1 Hg 2.35
S: 0.2590 0.7718 0.0592  1 Hg 2.35
S: 0.7410 0.2282 0.9408  1 Hg 2.35
S: 0.7410 0.7718 0.4408  1 Hg 2.35

=====

Entry 2:
Material: K2UHgS6
Method: DFT, PBE
State: optimized geometry

Properties
ρ (g/cm³): 4.0
Symmetry: C2/m, No. 12
E_form (uncorrected) (eV per atom): -0.70

Cell: 7.9105 7.9105 6.5281 Å, 106.75 106.75 49.72°
Closest atoms and distances in Å follow each position.
Fractional positions:
K: 0.2305 0.2305 0.2127  7 S 3.24-3.51
K: 0.7695 0.7695 0.7873  7 S 3.24-3.51
U: 0.5000 0.5000 0.0000  6 S 2.45-2.60
Hg: 0.0000 0.0000 0.5000  4 S 2.51
S: 0.1602 0.6858 0.1942  1 Hg 2.51, 1 U 2.60
S: 0.3142 0.8398 0.8058  1 Hg 2.51, 1 U 2.60
S: 0.3361 0.3361 0.7317  1 U 2.45
S: 0.6639 0.6639 0.2683  1 U 2.45
S: 0.6858 0.1602 0.1942  1 Hg 2.51, 1 U 2.60
S: 0.8398 0.3142 0.8058  1 Hg 2.51, 1 U 2.60

=====

Entry 3:
Material: K3U3HgS8
Method: DFT, PBE
State: optimized geometry

Properties
ρ (g/cm³): 5.1
Symmetry: R-3m, No. 166
E_form (uncorrected) (eV per atom): -1.21

Cell: 8.7704 8.7704 8.7704 Å, 54.73 54.73 54.73°
Closest atoms and distances in Å follow each position.
Fractional positions:
K: 0.0000 0.5000 0.5000  6 S 3.21-3.27
K: 0.5000 0.0000 0.5000  6 S 3.21-3.27
K: 0.5000 0.5000 0.0000  6 S 3.21-3.27
U: 0.0000 0.0000 0.5000  6 S 2.71-2.77
U: 0.0000 0.5000 0.0000  6 S 2.71-2.77
U: 0.5000 0.0000 0.0000  6 S 2.71-2.77
Hg: 0.5000 0.5000 0.5000  6 S 2.87
S: 0.2151 0.7427 0.7427  2 U 2.71, 1 Hg 2.87
S: 0.2342 0.2342 0.2342  3 U 2.77
S: 0.2573 0.2573 0.7849  2 U 2.71, 1 Hg 2.87
S: 0.2573 0.7849 0.2573  2 U 2.71, 1 Hg 2.87
S: 0.7427 0.2151 0.7427  2 U 2.71, 1 Hg 2.87
S: 0.7427 0.7427 0.2151  2 U 2.71, 1 Hg 2.87
S: 0.7658 0.7658 0.7658  3 U 2.77
S: 0.7849 0.2573 0.2573  2 U 2.71, 1 Hg 2.87

=====

Entry 4:
Material: K3HgW2S8
Method: DFT, PBE
State: optimized geometry

Properties
ρ (g/cm³): 3.6
Symmetry: P-3m1, No. 164
E_form (uncorrected) (eV per atom): -0.71

Cell: 7.1817 7.1817 9.6692 Å, 90.00 90.00 120.00°
Closest atoms and distances in Å follow each position.
Fractional positions:
K: 0.0000 0.0000 0.0000  6 S 3.45
K: 0.3333 0.6667 0.6577  1 S 3.20
K: 0.6667 0.3333 0.3423  1 S 3.20
Hg: 0.0000 0.0000 0.5000  6 S 2.90
W: 0.3333 0.6667 0.2133  4 S 2.18-2.22
W: 0.6667 0.3333 0.7867  4 S 2.18-2.22
S: 0.1644 0.3288 0.2872  1 W 2.22
S: 0.1644 0.8356 0.2872  1 W 2.22
S: 0.3288 0.1644 0.7128  1 W 2.22
S: 0.3333 0.6667 0.9883  1 W 2.18
S: 0.6667 0.3333 0.0117  1 W 2.18
S: 0.6712 0.8356 0.2872  1 W 2.22
S: 0.8356 0.1644 0.7128  1 W 2.22
S: 0.8356 0.6712 0.7128  1 W 2.22

=====

Entry 5:
Material: KZrHg2S
Method: DFT, PBE
State: optimized geometry

Properties
ρ (g/cm³): 4.2
Symmetry: P4/mmm, No. 123
E_form (uncorrected) (eV per atom): 0.76

Cell: 5.5777 5.5777 7.0980 Å, 90.00 90.00 90.00°
Closest atoms and distances in Å follow each position.
Fractional positions:
K: 0.0000 0.0000 0.0000  2 Zr 3.55, 4 S 3.94
Zr: 0.0000 0.0000 0.5000  4 Hg 2.79
Hg: 0.0000 0.5000 0.5000  2 Zr 2.79
Hg: 0.5000 0.0000 0.5000  2 Zr 2.79
S: 0.5000 0.5000 0.0000  4 K 3.94

=====

Entry 6:
Material: K2ZrHgS4
Method: DFT, PBE
State: optimized geometry

Properties
ρ (g/cm³): 4.1
Symmetry: P2/m, No. 10
E_form (uncorrected) (eV per atom): -1.08

Cell: 7.3208 3.8776 7.6999 Å, 90.00 111.22 90.00°
Closest atoms and distances in Å follow each position.
Fractional positions:
K: 0.0000 0.0000 0.0000  6 S 3.06-3.17
K: 0.5000 0.5000 0.0000  4 S 3.17
Zr: 0.0000 0.5000 0.5000  6 S 2.61-2.64
Hg: 0.5000 0.0000 0.5000  4 S 2.67
S: 0.1979 0.0000 0.7119  2 Zr 2.61
S: 0.2502 0.5000 0.3238  1 Zr 2.64, 2 Hg 2.67
S: 0.7498 0.5000 0.6762  1 Zr 2.64, 2 Hg 2.67
S: 0.8021 0.0000 0.2881  2 Zr 2.61

=====

Entry 7:
Material: KHgSb
Method: DFT, PBE
State: optimized geometry

Properties
ρ (g/cm³): 6.1
Symmetry: P1, No. 1
E_form (uncorrected) (eV per atom): -0.25

Cell: 6.2218 6.6590 11.0947 Å, 86.32 74.31 63.46°
Closest atoms and distances in Å follow each position.
Fractional positions:
K: 0.0000 0.0000 0.0000  5 Sb 3.59-3.82, 6 Hg 3.80-4.00, 2 K 3.93-3.98
K: 0.0239 0.4828 0.4781  5 Sb 3.61-3.87, 4 Hg 3.63-3.84, 4 K 3.91-4.02
K: 0.7466 0.1132 0.3715  5 Hg 3.63-4.03, 4 Sb 3.68-3.79, 4 K 3.91-4.00
K: 0.7750 0.6352 0.8506  5 Hg 3.55-3.90, 5 Sb 3.78-3.86, 1 K 3.93
Hg: 0.3894 0.3564 0.9176  2 Hg 3.08-3.12, 2 Sb 3.35-3.37
Hg: 0.3940 0.7911 0.3996  2 Sb 2.83-2.87
Hg: 0.4186 0.5209 0.1636  3 Sb 3.04-3.23, 2 Hg 3.08-3.20
Hg: 0.8327 0.1098 0.6824  4 Sb 3.10-3.45, 1 Hg 3.12
Sb: 0.3393 0.0849 0.6883  1 Sb 2.98, 2 Hg 3.10-3.13
Sb: 0.3596 0.0611 0.1868  1 Hg 2.87, 1 Sb 3.17
Sb: 0.3821 0.6312 0.6425  1 Hg 2.83, 1 Sb 2.98
Sb: 0.9000 0.5263 0.1729  4 Hg 3.04-3.35, 1 Sb 3.17

=====

Entry 8:
Material: KHg2Sb
Method: DFT, PBE
State: optimized geometry

Properties
ρ (g/cm³): 7.9
Symmetry: P2/m, No. 10
E_form (uncorrected) (eV per atom): -0.16

Cell: 3.3469 5.3670 6.5716 Å, 90.00 90.13 90.00°
Closest atoms and distances in Å follow each position.
Fractional positions:
K: 0.0000 0.0000 0.0000  2 K 3.35, 8 Hg 3.56, 4 Sb 3.68-3.69
Hg: 0.4974 0.5000 0.7515  2 Sb 3.15, 4 Hg 3.27-3.35
Hg: 0.5026 0.5000 0.2485  2 Sb 3.15, 4 Hg 3.27-3.35
Sb: 0.5000 0.0000 0.5000  4 Hg 3.15, 2 Sb 3.35

=====

Question: Which of these has the highest E_form (uncorrected)?
Answer: KZrHg2S

=====

Question: Which of these has the lowest E_form (uncorrected)?
Answer: K3U3HgS8